1.
A geometry-optimized NdMgHgRu structure. Source: Alexandria, functional PBE.

## Properties
ρ, kg/m³: 9027
D(E_F), states/eV per cell: 12.8
Energy relative to the elements, eV/atom: -0.060

The structure in CIF format:
```
data_NdMgHgRu
_space_group_name_H-M_alt 'F -4 3 m'
_space_group_IT_number 216
_space_group_name_Hall 'F -4 2 3'
_cell_length_a 7.0202
_cell_length_b 7.0202
_cell_length_c 7.0202
_cell_angle_alpha 90.00
_cell_angle_beta 90.00
_cell_angle_gamma 90.00
loop_
_atom_site_label
_atom_site_type_symbol
_atom_site_fract_x
_atom_site_fract_y
_atom_site_fract_z
Nd1 Nd 0.0000 0.0000 0.0000
Mg1 Mg 0.0000 0.0000 0.5000
Hg1 Hg 0.2500 0.2500 0.2500
Ru1 Ru 0.2500 0.2500 0.7500
```

2.
A geometry-optimized NdMgHgSb structure. Source: Alexandria, functional PBE.

## Properties
ΔE_f (raw), eV/atom: -0.435
ρ, kg/m³: 7693
D(E_F), states/eV per cell: 10.5

The structure in CIF format:
```
data_NdMgHgSb
_space_group_name_H-M_alt 'F -4 3 m'
_space_group_IT_number 216
_space_group_name_Hall 'F -4 2 3'
_cell_length_a 7.5115
_cell_length_b 7.5115
_cell_length_c 7.5115
_cell_angle_alpha 90.00
_cell_angle_beta 90.00
_cell_angle_gamma 90.00
loop_
_atom_site_label
_atom_site_type_symbol
_atom_site_fract_x
_atom_site_fract_y
_atom_site_fract_z
Nd1 Nd 0.0000 0.0000 0.0000
Mg1 Mg 0.0000 0.0000 0.5000
Hg1 Hg 0.2500 0.2500 0.2500
Sb1 Sb 0.2500 0.2500 0.7500
```

3.
A geometry-optimized NdMg2ScHg4 structure. Source: Alexandria, functional PBE.

## Properties
ρ, kg/m³: 9460
D(E_F), states/eV per cell: 8.0
Energy relative to the elements, eV/atom: -0.423

The structure in CIF format:
```
data_NdMg2ScHg4
_space_group_name_H-M_alt 'R -3 m'
_space_group_IT_number 166
_space_group_name_Hall '-R 3 2"'
_cell_length_a 5.0235
_cell_length_b 5.0235
_cell_length_c 25.0632
_cell_angle_alpha 90.00
_cell_angle_beta 90.00
_cell_angle_gamma 120.00
loop_
_atom_site_label
_atom_site_type_symbol
_atom_site_fract_x
_atom_site_fract_y
_atom_site_fract_z
Nd1 Nd 0.0000 0.0000 0.0000
Mg1 Mg 0.0000 0.0000 0.2485
Sc1 Sc 0.0000 0.0000 0.5000
Hg1 Hg 0.0000 0.0000 0.1296
Hg2 Hg 0.0000 0.0000 0.3822
```

4.
A geometry-optimized NdSm2MgHg4 structure. Source: Alexandria, functional PBE.

## Properties
ρ, kg/m³: 10068
D(E_F), states/eV per cell: 18.7
Energy relative to the elements, eV/atom: -0.453

The structure in CIF format:
```
data_NdSm2MgHg4
_space_group_name_H-M_alt 'R -3 m'
_space_group_IT_number 166
_space_group_name_Hall '-R 3 2"'
_cell_length_a 5.2129
_cell_length_b 5.2129
_cell_length_c 26.7379
_cell_angle_alpha 90.00
_cell_angle_beta 90.00
_cell_angle_gamma 120.00
loop_
_atom_site_label
_atom_site_type_symbol
_atom_site_fract_x
_atom_site_fract_y
_atom_site_fract_z
Nd1 Nd 0.0000 0.0000 0.0000
Sm1 Sm 0.0000 0.0000 0.2429
Mg1 Mg 0.0000 0.0000 0.5000
Hg1 Hg 0.0000 0.0000 0.1256
Hg2 Hg 0.0000 0.0000 0.3770
```

5.
A geometry-optimized NdSmMgHg structure. Source: Alexandria, functional PBE.

## Properties
ρ, kg/m³: 7642
Excess energy over the best structure of this formula in the dataset, meV/atom: 0.0
D(E_F), states/eV per cell: 5.0
Energy relative to the elements, eV/atom: -0.286

The structure in CIF format:
```
data_NdSmMgHg
_space_group_name_H-M_alt 'P 4 m m'
_space_group_IT_number 99
_space_group_name_Hall 'P 4 -2'
_cell_length_a 3.8509
_cell_length_b 3.8509
_cell_length_c 7.6116
_cell_angle_alpha 90.00
_cell_angle_beta 90.00
_cell_angle_gamma 90.00
loop_
_atom_site_label
_atom_site_type_symbol
_atom_site_fract_x
_atom_site_fract_y
_atom_site_fract_z
Nd1 Nd 0.0000 0.0000 0.0000
Sm1 Sm 0.0000 0.0000 0.5033
Mg1 Mg 0.5000 0.5000 0.2548
Hg1 Hg 0.5000 0.5000 0.7433
```

6.
A geometry-optimized NdSmMgHg structure. Source: Alexandria, functional PBE.

## Properties
ρ, kg/m³: 7655
Excess energy over the best structure of this formula in the dataset, meV/atom: 21.6
D(E_F), states/eV per cell: 20.1
Energy relative to the elements, eV/atom: -0.265

The structure in CIF format:
```
data_NdSmMgHg
_space_group_name_H-M_alt 'F -4 3 m'
_space_group_IT_number 216
_space_group_name_Hall 'F -4 2 3'
_cell_length_a 7.6675
_cell_length_b 7.6675
_cell_length_c 7.6675
_cell_angle_alpha 90.00
_cell_angle_beta 90.00
_cell_angle_gamma 90.00
loop_
_atom_site_label
_atom_site_type_symbol
_atom_site_fract_x
_atom_site_fract_y
_atom_site_fract_z
Nd1 Nd 0.0000 0.0000 0.0000
Sm1 Sm 0.0000 0.0000 0.5000
Mg1 Mg 0.2500 0.2500 0.7500
Hg1 Hg 0.2500 0.2500 0.2500
```